(1)
Material: ReTcC2N
Method: DFT, SCAN
State: single point on PBEsol structure

Lattice parameters (Å, degrees): 3.794 3.794 3.579 90.00 90.00 90.00
Space group P4/mmm (No. 123)
Symmetry-distinct sites (fractional):
Re 0.000 0.000 0.000 x1
Tc 0.500 0.500 0.000 x1
C 0.000 0.500 0.500 x2
N 0.500 0.500 0.500 x1

The uncorrected energy is -24.569 eV per atom. The value obtained for the energy relative to the elements, uncorrected is 2.5609 eV/atom.



(2)
Material: Zr3AgIr
Method: DFT, SCAN
State: single point on PBEsol structure

Lattice parameters (Å, degrees): 4.927 4.927 4.927 90.00 90.00 90.00
Space group Pm-3m (No. 221)
Symmetry-distinct sites (fractional):
Zr 0.000 0.000 0.500 x3
Ag 0.000 0.000 0.000 x1
Ir 0.500 0.500 0.500 x1

The uncorrected energy is -37.765 eV per atom. The formation energy is 1.15 eV/atom.



(3)
Material: Li2BiB2O6
Method: DFT, SCAN
State: single point on PBEsol structure

Lattice parameters (Å, degrees): 8.475 6.299 10.365 90.00 116.16 90.00
Space group P2_1/c (No. 14)
Symmetry-distinct sites (fractional):
Li 0.092 0.219 0.490 x4
Li 0.321 0.734 0.546 x4
Bi 0.310 0.034 0.293 x4
B 0.028 0.646 0.804 x4
B 0.437 0.189 0.105 x4
O 0.071 0.673 0.691 x4
O 0.123 0.207 0.690 x4
O 0.158 0.547 0.926 x4
O 0.289 0.066 0.059 x4
O 0.469 0.731 0.249 x4
O 0.494 0.212 0.515 x4

The uncorrected energy is -14.389 eV per atom. The value obtained for the energy relative to the elements, uncorrected is -2.0613 eV/atom.



(4)
Material: MgIrBr2
Method: DFT, SCAN
State: single point on PBEsol structure

Lattice parameters (Å, degrees): 3.506 5.634 8.827 90.00 90.00 90.00
Space group Cmm2 (No. 35)
Symmetry-distinct sites (fractional):
Mg 0.000 0.000 0.000 x2
Ir 0.000 0.500 0.759 x2
Br 0.000 0.000 0.568 x2
Br 0.000 0.500 0.206 x2

The uncorrected energy is -28.721 eV per atom. The value obtained for the energy relative to the elements, uncorrected is 0.0274 eV/atom.